Entry 1:
VASP calculation (PBE) on a geometry-optimized Ba2TiSbRu structure.

abc: 6.121 6.121 5.133
angles: 90.00 90.00 90.00
Atoms (fractional coordinates):
Ba 0.000 0.500 0.000
Ba 0.500 0.000 0.000
Ti 0.000 0.000 0.000
Sb 0.000 0.000 0.500
Ru 0.500 0.500 0.500

Output
final energy = -4.10 eV/atom
raw formation energy = 89 kJ per mole of atoms



Entry 2:
VASP calculation (PBE) on a geometry-optimized BaSbRu2W structure.

abc: 4.905 4.905 6.020
angles: 90.00 90.00 90.00
Atoms (fractional coordinates):
Ba 0.000 0.000 0.000
Sb 0.000 0.000 0.500
Ru 0.000 0.500 0.500
Ru 0.500 0.000 0.500
W 0.500 0.500 0.000

Output
final energy = -5.52 eV/atom
raw formation energy = 192 kJ per mole of atoms



Entry 3:
VASP calculation (PBE) on a geometry-optimized BaSc2Ru2 structure.

abc: 6.514 6.514 6.514
angles: 137.29 137.29 61.99
Atoms (fractional coordinates):
Ba 0.000 0.000 0.000
Sc 0.339 0.339 0.000
Sc 0.661 0.661 0.000
Ru 0.250 0.750 0.500
Ru 0.750 0.250 0.500

Output
final energy = -6.59 eV/atom
energy relative to the elements = 33.7 meV per atom



Entry 4:
VASP calculation (PBE) on a geometry-optimized BaSc3Ru structure.

abc: 5.198 5.198 5.198
angles: 90.00 90.00 90.00
Atoms (fractional coordinates):
Ba 0.000 0.000 0.000
Sc 0.000 0.500 0.500
Sc 0.500 0.000 0.500
Sc 0.500 0.500 0.000
Ru 0.500 0.500 0.500

Output
final energy = -6.16 eV/atom
energy relative to the elements = -119.1 meV per atom
energy above the most stable polymorph in this dataset = 0 meV/atom